Record 1
This record from the Alexandria database describes a geometry-optimized Pm5ErTl6 structure. The functional is GGA-PBE.

Output
**SG**: Cmmm (65)
**Formation energy from the elements**: -374.7 meV/atom

Structure (extended XYZ):
```
12
Lattice="-2.180 1.348 -4.850 -3.856 -6.605 -0.102 -7.406 4.302 1.422" Properties=species:S:1:pos:R:3 pbc="T T T"
Tl -6.284 1.490 0.136
Tl -3.995 -4.301 -2.502
Tl -5.198 0.913 -3.615
Tl -7.158 -2.445 -3.667
Tl -2.042 -0.956 -2.450
Tl -8.245 -1.868 0.084
Pm -5.157 -1.400 -1.173
Pm -6.396 3.770 -2.283
Pm -3.190 1.880 -1.146
Pm -8.285 0.445 -2.357
Pm -1.928 -3.302 -0.051
Er 0.000 0.000 0.000
```



Record 2
This record from the Alexandria database describes a geometry-optimized NdY6Ho3Er2 structure. The functional is GGA-PBE.

Output
**SG**: C2/m (12)
**Formation energy from the elements**: 22.2 meV/atom

Structure (extended XYZ):
```
12
Lattice="6.158 0.002 0.010 -3.076 5.335 0.010 -1.040 -1.801 11.614" Properties=species:S:1:pos:R:3 pbc="T T T"
Y -0.014 3.537 8.711
Y 2.051 3.551 2.931
Y -0.009 -0.015 8.702
Y -1.029 1.780 2.922
Y 3.071 1.756 8.711
Y 2.056 -0.002 2.922
Er 0.003 3.557 0.010
Er 3.079 1.780 0.010
Ho 1.021 1.768 5.817
Ho 4.096 -0.008 5.817
Ho -2.054 3.544 5.817
Nd 0.000 0.000 0.000
```



Record 3
This record from the Alexandria database describes a geometry-optimized CrAgTe2 structure. The functional is GGA-PBE.

Output
**SG**: P3_221 (154)
**ΔE_f (raw)**: -0.102 eV per atom

Structure (extended XYZ):
```
12
Lattice="-0.639 3.859 0.996 -2.591 0.919 2.955 18.301 -1.205 16.420" Properties=species:S:1:pos:R:3 pbc="T T T"
Ag -1.722 0.611 1.964
Ag 11.986 0.491 11.281
Ag 4.806 2.471 7.127
Cr 13.969 1.888 15.324
Cr 7.412 0.014 10.193
Cr 2.840 1.069 3.064
Te -0.382 4.325 4.740
Te 11.387 1.284 16.004
Te 9.994 0.617 9.513
Te 2.831 2.591 5.340
Te 14.599 -0.449 16.604
Te 6.782 2.351 8.914
```



Record 4
This record from the Alexandria database describes a geometry-optimized MgHgBiSb structure. The functional is GGA-PBE.

Output
**SG**: F-43m (216)
**ΔE_f (raw)**: 0.044 eV per atom

Structure (extended XYZ):
```
4
Lattice="5.359 0.000 0.000 2.680 4.641 0.000 2.680 1.547 4.376" Properties=species:S:1:pos:R:3 pbc="T T T"
Bi 2.680 1.547 1.094
Hg 5.359 3.094 2.188
Sb 0.000 0.000 0.000
Mg 8.039 4.641 3.282
```



Record 5
This record from the Alexandria database describes a geometry-optimized Sr2VSeN structure. The functional is GGA-PBE.

Output
**SG**: P4/mmm (123)
**ΔE_f (raw)**: 0.934 eV per atom

Structure (extended XYZ):
```
5
Lattice="-3.781 4.684 0.736 -2.094 -1.205 -3.086 -3.462 -3.371 3.666" Properties=species:S:1:pos:R:3 pbc="T T T"
Se 0.000 0.000 0.000
N -1.047 -0.603 -1.543
Sr -1.731 -1.685 1.833
Sr -1.891 2.342 0.368
V -4.669 0.054 0.658
```



Record 6
This record from the Alexandria database describes a geometry-optimized GaPbS structure. The functional is GGA-PBE.

Output
**SG**: P-1 (2)
**Relative energy among the computed polymorphs**: 0.0 kJ/mol of atoms
**ΔE_f (raw)**: -0.264 eV per atom

Structure (extended XYZ):
```
6
Lattice="3.525 -0.061 -0.046 -1.658 5.681 -0.501 0.082 -2.048 8.525" Properties=species:S:1:pos:R:3 pbc="T T T"
S 1.863 -0.400 7.247
S 0.086 3.973 0.731
Pb 0.129 3.119 4.752
Pb 1.820 0.453 3.226
Ga 0.122 1.206 6.841
Ga 1.827 2.366 1.137
```



Record 7
This record from the Alexandria database describes a geometry-optimized Rb3CaMo structure. The functional is GGA-PBE.

Output
**SG**: Pm-3m (221)
**Relative energy among the computed polymorphs**: 0.0 kJ/mol of atoms
**Formation energy from the elements**: 1207.7 meV/atom

Structure (extended XYZ):
```
5
Lattice="7.168 0.000 0.000 0.000 7.168 0.000 0.000 0.000 7.168" Properties=species:S:1:pos:R:3 pbc="T T T"
Ca 3.584 3.584 3.584
Rb 0.000 3.584 0.000
Rb 3.584 0.000 0.000
Rb 0.000 0.000 3.584
Mo 0.000 0.000 0.000
```



Record 8
This record from the Alexandria database describes a geometry-optimized Hf8GeBi2 structure. The functional is GGA-PBE.

Output
**SG**: C2/m (12)
**Formation energy from the elements**: -159.0 meV/atom

Structure (extended XYZ):
```
11
Lattice="-0.679 -1.805 3.323 1.994 -6.779 -3.276 8.332 2.193 0.672" Properties=species:S:1:pos:R:3 pbc="T T T"
Hf 3.981 -1.929 -0.235
Hf 5.665 -4.463 0.954
Hf 0.942 -1.583 -0.668
Hf 7.561 -2.180 0.360
Hf 2.085 -4.212 0.359
Hf 2.351 -0.911 2.207
Hf 8.705 -4.809 1.387
Hf 7.295 -5.481 -1.488
Ge -0.339 -0.903 1.662
Bi 5.402 -1.640 2.434
Bi 4.244 -4.752 -1.715
```



Record 9
This record from the Alexandria database describes a geometry-optimized CaCu2Ni structure. The functional is GGA-PBE.

Output
**SG**: C2/m (12)
**Relative energy among the computed polymorphs**: 5.3 kJ/mol of atoms
**Formation energy from the elements**: -83.8 meV/atom

Structure (extended XYZ):
```
4
Lattice="4.124 -0.015 0.005 2.077 3.563 0.005 2.040 1.167 4.847" Properties=species:S:1:pos:R:3 pbc="T T T"
Ni 6.181 3.536 3.644
Cu 4.116 2.354 3.227
Cu 2.045 1.170 4.050
Ca 2.060 1.179 1.215
```



Record 10
This record from the Alexandria database describes a geometry-optimized BeTc2Cl structure. The functional is GGA-PBE.

Output
**SG**: I-42d (122)
**Relative energy among the computed polymorphs**: 101.9 kJ/mol of atoms
**ΔE_f (raw)**: 1.149 eV per atom

Structure (extended XYZ):
```
8
Lattice="5.263 0.000 0.000 0.000 5.263 0.000 2.632 2.632 4.805" Properties=species:S:1:pos:R:3 pbc="T T T"
Tc 3.948 4.011 3.603
Tc 3.884 1.316 1.201
Tc 1.380 3.948 1.201
Tc 6.579 6.515 3.603
Cl 0.000 0.000 0.000
Cl 5.263 2.632 2.402
Be 2.632 2.632 0.000
Be 2.632 5.263 2.402
```



Record 11
This record from the Alexandria database describes a geometry-optimized HRhN2F structure. The functional is GGA-PBE.

Output
**SG**: P4/mmm (123)
**Relative energy among the computed polymorphs**: 0.0 kJ/mol of atoms

Structure (extended XYZ):
```
5
Lattice="-0.172 3.544 -1.281 -1.337 -1.256 -3.296 -4.031 0.348 1.502" Properties=species:S:1:pos:R:3 pbc="T T T"
F -2.016 0.174 0.751
N -0.668 -0.628 -1.648
N -0.086 1.772 -0.640
H -2.770 1.318 -1.537
Rh 0.000 0.000 0.000
```



Record 12
This record from the Alexandria database describes a geometry-optimized La12Tc3N5 structure. The functional is GGA-PBE.

Output
**SG**: Ia-3d (230)
**ΔE_f (raw)**: -0.570 eV per atom

Structure (extended XYZ):
```
80
Lattice="13.863 0.000 0.000 -4.621 13.070 0.000 -4.621 -6.535 11.319" Properties=species:S:1:pos:R:3 pbc="T T T"
La 9.068 1.474 0.280
La 2.985 8.222 1.136
La 7.106 3.762 4.243
La 5.296 -1.828 10.426
La -1.133 -3.570 7.969
La 2.485 -2.288 6.796
La -4.447 5.061 11.039
La -3.443 11.221 1.417
La 8.064 -4.686 9.903
La -5.799 3.570 7.969
La -1.133 4.686 9.903
La 8.565 0.762 5.379
La 2.988 1.772 3.630
La 2.985 4.708 0.893
La -0.678 1.010 2.310
La 7.106 11.596 0.280
La 7.609 -1.010 2.310
La 2.136 8.823 4.523
La 1.636 1.828 10.426
La 1.133 1.116 6.553
La -1.636 0.140 9.290
La -2.485 2.774 7.076
La -3.943 5.773 5.940
La 5.754 1.849 1.417
La 3.943 -1.772 3.630
La 4.447 2.288 6.796
La -4.796 9.309 4.243
La -0.675 4.848 1.136
La -0.675 8.363 0.893
La 5.296 1.687 10.183
La 6.254 7.298 5.940
La 5.754 10.105 3.350
La 1.633 4.763 7.689
La -5.296 -0.140 9.290
La 5.299 5.525 9.009
La 1.636 -1.687 10.183
La -2.988 7.545 9.009
La 0.174 4.247 4.523
La 10.420 2.965 3.350
La -1.633 -0.762 5.379
La -1.178 7.651 4.766
La 5.799 -1.116 6.553
La -2.485 -5.061 11.039
La 9.417 -2.774 7.076
La 9.917 6.675 2.029
La 0.678 8.307 7.689
La 3.488 5.419 4.766
La 6.257 6.395 2.029
N 5.776 -4.084 9.904
N 6.932 0.000 0.000
N 1.155 -3.268 8.489
N 5.776 3.268 8.489
N 3.466 9.803 2.830
N 3.466 2.451 1.415
N -4.621 3.268 5.660
N -3.466 7.352 4.245
N 1.155 4.084 9.904
N 5.776 5.718 4.245
N -2.311 6.535 0.000
N 2.311 3.268 5.660
N 4.621 -3.268 5.660
N 4.621 6.535 0.000
N 0.000 0.000 0.000
N -1.155 10.620 1.415
N -1.155 3.268 2.830
N -1.155 0.817 7.075
N 8.087 -0.817 7.075
N -2.311 -3.268 5.660
Tc 10.397 0.000 2.830
Tc -5.776 6.535 8.489
Tc 3.466 7.352 7.075
Tc 1.155 -0.817 4.245
Tc 1.155 6.535 2.830
Tc 8.087 8.986 1.415
Tc -3.466 2.451 9.904
Tc -1.155 5.718 7.075
Tc 8.087 4.084 1.415
Tc -3.466 -2.451 9.904
Tc 5.776 0.817 4.245
Tc 3.466 0.000 8.489
```



Record 13
This record from the Alexandria database describes a geometry-optimized K3Tl4Pb2 structure. The functional is GGA-PBE.

Output
**SG**: C2/c (15)
**Relative energy among the computed polymorphs**: 0.4 kJ/mol of atoms
**Formation energy from the elements**: -78.3 meV/atom

Structure (extended XYZ):
```
18
Lattice="-0.674 1.050 7.856 -0.894 -9.189 2.678 8.792 -2.834 2.659" Properties=species:S:1:pos:R:3 pbc="T T T"
Tl 1.820 -8.816 5.619
Tl 5.405 -2.157 7.573
Tl 0.799 -3.957 5.887
Tl 3.559 -8.150 11.238
Tl 0.184 -6.328 3.656
Tl 7.040 -4.645 9.536
Tl 3.665 -2.823 1.955
Tl 6.426 -7.016 7.305
Pb 6.777 -7.485 4.213
Pb 3.842 -8.665 8.146
Pb 3.383 -2.308 5.046
Pb 0.447 -3.488 8.979
K 7.467 -9.230 9.985
K -0.242 -1.743 3.207
K 3.748 -5.770 4.632
K 3.476 -5.203 8.560
K 5.857 -11.032 6.061
K 1.367 0.059 7.131
```



Record 14
This record from the Alexandria database describes a geometry-optimized CoIr2Rh structure. The functional is GGA-PBE.

Output
**SG**: R-3m (166)
**Relative energy among the computed polymorphs**: 3.1 kJ/mol of atoms
**Formation energy from the elements**: 41.7 meV/atom

Structure (extended XYZ):
```
4
Lattice="-8.050 -1.470 3.096 -6.614 -2.410 5.195 -7.169 0.237 5.009" Properties=species:S:1:pos:R:3 pbc="T T T"
Ir -10.836 -1.808 6.601
Ir -0.080 -0.013 0.049
Co -16.375 -2.732 9.974
Rh -5.458 -0.911 3.325
```



Record 15
This record from the Alexandria database describes a geometry-optimized PaAlNi4H6 structure. The functional is GGA-PBE.

Output
**SG**: P6/mmm (191)

Structure (extended XYZ):
```
12
Lattice="4.247 0.000 0.000 -2.124 3.678 0.000 0.000 0.000 6.547" Properties=species:S:1:pos:R:3 pbc="T T T"
H 1.062 1.839 4.231
H 2.124 0.000 4.231
H -1.062 1.839 2.316
H 2.124 0.000 2.316
H 1.062 1.839 2.316
H -1.062 1.839 4.231
Ni 0.000 2.452 5.338
Ni 0.000 2.452 1.209
Ni 2.124 1.226 1.209
Ni 2.124 1.226 5.338
Pa 0.000 0.000 3.273
Al 0.000 0.000 0.000
```



Record 16
This record from the Alexandria database describes a geometry-optimized K2NaUI8 structure. The functional is GGA-PBE.

Output
**SG**: P-1 (2)
**ΔE_f (raw)**: -1.027 eV per atom

Structure (extended XYZ):
```
12
Lattice="-7.611 -1.887 -2.098 2.709 -6.595 -1.984 -1.807 -3.596 9.575" Properties=species:S:1:pos:R:3 pbc="T T T"
I -2.477 -4.017 3.636
I -6.363 -3.872 -0.343
I -4.233 -8.061 1.857
I 0.762 -6.029 0.131
I -4.909 -9.996 6.578
I -7.472 -6.049 5.362
I -0.347 -8.207 5.835
I -1.801 -2.082 -1.086
K -3.782 -6.831 4.971
K -2.927 -5.247 0.521
U 0.000 0.000 0.000
Na -0.904 -1.798 4.788
```



Record 17
This record from the Alexandria database describes a geometry-optimized RbMo2I structure. The functional is GGA-PBE.

Output
**SG**: I-42d (122)
**Relative energy among the computed polymorphs**: 0.0 kJ/mol of atoms
**ΔE_f (raw)**: 1.295 eV per atom

Structure (extended XYZ):
```
8
Lattice="4.858 0.000 0.000 0.000 4.858 0.000 2.429 2.429 10.188" Properties=species:S:1:pos:R:3 pbc="T T T"
Rb 2.429 2.429 0.000
Rb 2.429 4.858 5.094
I 4.858 2.429 5.094
I 0.000 0.000 0.000
Mo 6.072 2.297 7.641
Mo 4.726 1.214 2.547
Mo 4.989 3.643 2.547
Mo 3.643 2.560 7.641
```



Record 18
This record from the Alexandria database describes a geometry-optimized AcNdSmCo structure. The functional is GGA-PBE.

Output
**SG**: Cm (8)
**Formation energy from the elements**: 94.7 meV/atom

Structure (extended XYZ):
```
4
Lattice="3.880 0.004 0.001 1.943 3.366 -0.001 -0.003 0.004 9.754" Properties=species:S:1:pos:R:3 pbc="T T T"
Nd 5.427 2.844 5.485
Ac 3.494 1.717 8.713
Sm 5.426 2.843 2.132
Co 3.489 1.718 3.791
```



Record 19
This record from the Alexandria database describes a geometry-optimized CdTcAu2 structure. The functional is GGA-PBE.

Output
**SG**: Pmm2 (25)
**Formation energy from the elements**: 298.5 meV/atom

Structure (extended XYZ):
```
4
Lattice="2.804 0.000 0.000 0.000 4.198 0.000 0.000 0.000 6.010" Properties=species:S:1:pos:R:3 pbc="T T T"
Au 1.402 2.099 1.512
Au 0.000 0.000 5.916
Tc 1.402 2.099 4.578
Cd 0.000 0.000 3.021
```



Record 20
This record from the Alexandria database describes a geometry-optimized Tl2AsW structure. The functional is GGA-PBE.

Output
**SG**: Imm2 (44)
**Relative energy among the computed polymorphs**: 19.8 kJ/mol of atoms
**Formation energy from the elements**: 542.0 meV/atom

Structure (extended XYZ):
```
4
Lattice="7.022 0.005 -0.019 6.327 3.048 -0.019 1.741 0.398 4.593" Properties=species:S:1:pos:R:3 pbc="T T T"
As 2.917 0.667 1.479
Tl 11.936 2.730 3.170
Tl 13.302 3.042 -0.018
W 7.828 1.791 2.165
```



Record 21
This record from the Alexandria database describes a geometry-optimized NaPaOs2O8 structure. The functional is GGA-PBE.

Output
**SG**: P-3m1 (164)
**ΔE_f (raw)**: -1.544 eV per atom

Structure (extended XYZ):
```
12
Lattice="-5.818 0.824 0.034 2.712 -1.997 4.815 0.945 6.587 2.199" Properties=species:S:1:pos:R:3 pbc="T T T"
Na 0.000 0.000 0.000
O -1.205 1.954 1.489
O -4.101 2.364 1.506
O -0.074 -0.661 3.353
O -2.086 6.075 3.694
O 0.591 4.044 3.145
O 1.941 3.050 5.542
O -0.955 3.460 5.559
O -2.751 1.370 3.903
Os -2.795 1.132 2.044
Os 0.635 4.282 5.003
Pa 0.473 3.294 1.100
```



| no. | final energy (Ha/atom) |
| --- | --- |
| 1 | -0.144 |
| 2 | -0.203 |
| 3 | -0.176 |
| 4 | -0.089 |
| 5 | -0.144 |
| 6 | -0.143 |
| 7 | -0.071 |
| 8 | -0.313 |
| 9 | -0.150 |
| 10 | -0.199 |
| 11 | -0.173 |
| 12 | -0.263 |
| 13 | -0.085 |
| 14 | -0.294 |
| 15 | -0.184 |
| 16 | -0.121 |
| 17 | -0.175 |
| 18 | -0.187 |
| 19 | -0.153 |
| 20 | -0.185 |
| 21 | -0.280 |